(1)
Crystalline Pr3Cu3Pd2 at its relaxed geometry, computed with GGA-PBE.

## Properties
V (Å³ per cell): 695
Energy of formation (eV/atom): -0.42

Lattice parameters (Å, degrees): 7.7305 16.0130 5.6117 90.00 90.00 90.00
Space group Pnma (No. 62)
One atom of each set of equivalent atoms:
1 Pr 0.0384 0.1028 0.1299 (multiplicity 8)
2 Pr 0.1722 0.2500 0.6278 (multiplicity 4)
3 Cu 0.1788 0.0308 0.5926 (multiplicity 8)
4 Cu 0.1833 0.7500 0.6295 (multiplicity 4)
5 Pd 0.1137 0.6130 0.3676 (multiplicity 8)



(2)
Crystalline Pr15Er4Mg at its relaxed geometry, computed with GGA-PBE.

## Properties
V (Å³ per cell): 687
Energy of formation (eV/atom): 0.01

Lattice parameters (Å, degrees): 5.1557 5.1557 25.8573 90.00 90.00 90.00
Space group P4/mmm (No. 123)
One atom of each set of equivalent atoms:
1 Pr 0.0000 0.0000 0.0000 (multiplicity 1)
2 Pr 0.0000 0.0000 0.1980 (multiplicity 2)
3 Pr 0.0000 0.0000 0.3992 (multiplicity 2)
4 Pr 0.0000 0.5000 0.0986 (multiplicity 4)
5 Pr 0.0000 0.5000 0.2991 (multiplicity 4)
6 Pr 0.0000 0.5000 0.5000 (multiplicity 2)
7 Er 0.5000 0.5000 0.1984 (multiplicity 2)
8 Er 0.5000 0.5000 0.3996 (multiplicity 2)
9 Mg 0.5000 0.5000 0.0000 (multiplicity 1)